Record 1
La2AgMoC | PBE | optimized geometry

Lattice parameters (Å, degrees): 5.280 5.280 4.140 90.00 90.00 90.00
Space group P4/mmm (No. 123)
Asymmetric unit:
La  0.000  0.500  0.000 x2
Ag  0.000  0.000  0.500 x1
Mo  0.500  0.500  0.500 x1
C  0.000  0.000  0.000 x1

Record 2
MgTl2Cl | PBE | optimized geometry

Lattice parameters (Å, degrees): 7.310 8.535 3.518 90.00 96.89 90.00
Space group C2/m (No. 12)
Asymmetric unit:
Mg  0.000  0.000  0.000 x2
Tl  0.250  0.250  0.500 x4
Cl  0.000  0.500  0.000 x2

- Formation energy (no corrections): -334 meV per atom

Record 3
NaRh4O8 | PBE | optimized geometry

Lattice parameters (Å, degrees): 13.531 3.112 9.277 90.00 127.53 90.00
Space group Cm (No. 8)
Asymmetric unit:
Na  0.000  0.000  0.000 x2
Rh  0.205  0.000  0.537 x2
Rh  0.223  0.500  0.893 x2
Rh  0.411  0.000  0.253 x2
Rh  0.430  0.500  0.608 x2
O  0.027  0.000  0.312 x2
O  0.108  0.000  0.833 x2
O  0.184  0.500  0.652 x2
O  0.241  0.500  0.434 x2
O  0.288  0.500  0.154 x2
O  0.351  0.000  0.991 x2
O  0.399  0.000  0.723 x2
O  0.449  0.000  0.493 x2

- Formation energy (no corrections): -872 meV per atom

Record 4
Pr6Fe13Sb | PBE | optimized geometry

Lattice parameters (Å, degrees): 8.079 8.079 23.616 90.00 90.00 90.00
Space group I4/mcm (No. 140)
Asymmetric unit:
Pr  0.000  0.000  0.104 x8
Pr  0.162  0.338  0.185 x16
Fe  0.000  0.500  0.000 x4
Fe  0.067  0.210  0.500 x16
Fe  0.114  0.386  0.408 x16
Fe  0.179  0.321  0.058 x16
Sb  0.000  0.000  0.250 x4

- Formation energy (no corrections): -111 meV per atom

Record 5
Ac2Si3SbPt4 | PBE | optimized geometry

Lattice parameters (Å, degrees): 4.494 4.494 10.169 90.00 90.00 90.00
Space group P-4m2 (No. 115)
Asymmetric unit:
Ac  0.000  0.500  0.242 x2
Si  0.000  0.500  0.881 x2
Si  0.500  0.500  0.500 x1
Sb  0.000  0.000  0.500 x1
Pt  0.000  0.000  0.000 x1
Pt  0.000  0.500  0.638 x2
Pt  0.500  0.500  0.000 x1

- Formation energy (no corrections): -968 meV per atom

Record 6
Co2Ir4Ru | PBE | optimized geometry

Lattice parameters (Å, degrees): 6.418 6.418 4.770 90.00 90.00 90.00
Space group I4/mmm (No. 139)
Asymmetric unit:
Co  0.000  0.500  0.250 x4
Ir  0.199  0.199  0.000 x8
Ru  0.000  0.000  0.500 x2

Number 1: density of states at the Fermi level 4.5 states/eV/f.u., raw total energy -29.68 eV/cell. Number 2: density of states at the Fermi level 1.7 states/eV/f.u., raw total energy -19.02 eV/cell. Number 3: density of states at the Fermi level 5.4 states/eV/f.u., raw total energy -163.45 eV/cell. Number 4: density of states at the Fermi level 22.6 states/eV/f.u., raw total energy -580.15 eV/cell. Number 5: density of states at the Fermi level 7.2 states/eV/f.u., raw total energy -62.45 eV/cell. Number 6: density of states at the Fermi level 10.9 states/eV/f.u., raw total energy -114.09 eV/cell.